Compound: MoN2F2
Source: Alexandria via LeMat-Bulk
Functional: GGA+U
Structure: optimized geometry Values from VASP.

```
&SYSTEM
  ibrav = 0, nat = 5, ntyp = 3
/
ATOMIC_SPECIES
Mo 95.94 Mo.upf
N 14.01 N.upf
F 19.00 F.upf
ATOMIC_POSITIONS angstrom
Mo 0.0000 0.0000 0.0000
N 2.7196 1.3598 4.1585
N 1.3598 2.7196 4.1585
F 1.3598 1.3598 1.2119
F 2.7196 2.7196 7.1050
CELL_PARAMETERS angstrom
2.7196 0.0000 0.0000
0.0000 2.7196 0.0000
1.3598 1.3598 8.3169
```

The space group is I4/mmm, No. 139. As for the crystal system: tetragonal. The energy above the most stable polymorph in this dataset comes out at 819.7 meV/atom.